(1)
HoTm2Sc3As2Os (GGA-PBE, relaxed); spin magnetization = 0.0 Bohr magnetons per cell; uncorrected energy = -60.7 eV per cell
1.0
4.074 0.000 0.000
0.000 6.485 3.746
0.000 -6.485 3.746
Ho Tm Sc As Os
1 2 3 2 1
Cartesian
0.000 0.000 0.000
0.000 -2.631 4.558
0.000 2.631 4.558
2.037 -1.536 2.156
2.037 1.536 2.156
2.037 0.000 4.845
2.037 -4.310 3.040
2.037 4.310 3.040
0.000 0.000 3.077


(2)
ZrH24C8N2Cl6 (GGA-PBE, relaxed); spin magnetization = 0.0 Bohr magnetons per cell; uncorrected energy = -209.9 eV per cell
1.0
0.000 6.460 6.460
6.460 0.000 6.460
6.460 6.460 0.000
Zr H C N Cl
1 24 8 2 6
Cartesian
0.000 0.000 0.000
3.451 1.737 1.737
4.723 3.009 1.737
4.723 1.737 3.009
1.737 3.451 1.737
3.009 4.723 1.737
1.737 1.737 3.451
4.723 4.723 3.451
3.009 1.737 4.723
4.723 3.451 4.723
1.737 4.723 3.009
1.737 3.009 4.723
3.451 4.723 4.723
9.468 8.196 8.196
11.183 9.911 8.196
11.183 8.196 9.911
8.196 9.468 8.196
9.911 11.183 8.196
8.196 8.196 9.468
11.183 11.183 9.468
9.911 8.196 11.183
11.183 9.468 11.183
8.196 11.183 9.911
8.196 9.911 11.183
9.468 11.183 11.183
4.095 2.364 2.364
2.364 4.095 2.364
2.364 2.364 4.095
4.095 4.095 4.095
8.824 8.824 8.824
10.555 10.555 8.824
10.555 8.824 10.555
8.824 10.555 10.555
3.230 3.230 3.230
9.690 9.690 9.690
6.460 6.460 2.489
6.460 2.489 6.460
10.431 6.460 6.460
2.489 6.460 6.460
6.460 10.431 6.460
6.460 6.460 10.431


(3)
MgTlTc2 (GGA-PBE, relaxed); spin magnetization = 0.0 Bohr magnetons per cell; uncorrected energy = -23.0 eV per cell
1.0
0.000 3.224 3.224
3.224 0.000 3.224
3.224 3.224 0.000
Mg Tl Tc
1 1 2
Cartesian
0.000 0.000 0.000
4.836 4.836 4.836
1.612 1.612 1.612
3.224 3.224 3.224


(4)
ZrCoTcSb (GGA-PBE, relaxed); spin magnetization = 1.0 Bohr magnetons per cell; uncorrected energy = -31.1 eV per cell; energy above the most stable polymorph in this dataset = 0.00 eV/f.u.
1.0
0.000 3.207 3.207
3.207 0.000 3.207
3.207 3.207 0.000
Zr Co Tc Sb
1 1 1 1
Cartesian
0.000 0.000 0.000
4.810 4.810 4.810
1.603 1.603 1.603
3.207 3.207 3.207